{
  "formula": "Ba2TbW2",
  "functional": "PBE-GGA",
  "state": "relaxed",
  "mass_density_g_cm3": 7.99,
  "crystal_system": "monoclinic",
  "relative_energy_ev_per_atom": 0.000,
  "final_energy_ev_per_cell": -29.77,
  "lattice": [[0.9036, 2.2762, -2.7193], [-3.5068, 0.1355, -1.0377], [-0.7589, 8.7091, 9.0963]],
  "species": ["Ba", "Ba", "Tb", "W", "W"],
  "frac_coords": [[0.3932, 0.3932, 0.7431], [0.6080, 0.6080, 0.2572], [0.0085, 0.0085, 0.0000], [0.7459, 0.2443, 0.4999], [0.2443, 0.7459, 0.4999]]
}